First-principles (PBE) data for a geometry-optimized BaTbInSe4 structure, as listed in the Alexandria database.

a b c (Å): 7.088 7.268 8.817
angles (deg): 90.00 106.98 90.00
Element x y z (fractional)
Se (0.981, 0.015, 0.283)
Se (0.513, 0.250, 0.394)
Se (0.019, 0.985, 0.717)
Se (0.487, 0.750, 0.606)
Ba (0.768, 0.750, 0.948)
Tb (0.216, 0.250, 0.555)
Se (0.453, 0.750, 0.141)
Ba (0.232, 0.250, 0.052)
In (0.758, 0.250, 0.669)
Se (0.019, 0.515, 0.717)
In (0.242, 0.750, 0.331)
Se (0.981, 0.485, 0.283)
Tb (0.784, 0.750, 0.445)
Se (0.547, 0.250, 0.859)

Values from the calculation:
Total magnetization (μB per atom): 0.000
ΔE_f (raw) (eV per atom): -1.386